Here is crystalline CaSeBr2O at its relaxed geometry from Alexandria. Energies are from GGA-PBEsol.

Output
- Fermi-level density of states (states/eV/cell) = 7.29
- energy relative to the elements, uncorrected (eV per atom) = 0.04
- volume (A^3/atom) = 35.3
- final energy (eV per cell) = -14.76
- offset from the most stable computed form (meV/atom) = 622.1

Cell and atoms, written as CIF:
```
data_CaSeBr2O
_chemical_formula_sum 'Ca1 Se1 Br2 O1'
_symmetry_space_group_name_H-M 'P 4/m m m'
_symmetry_Int_Tables_number 123
_symmetry_space_group_name_Hall '-P 4 2'
_cell_length_a 5.506
_cell_length_b 5.506
_cell_length_c 5.825
_cell_angle_alpha 90.00
_cell_angle_beta 90.00
_cell_angle_gamma 90.00
loop_
_atom_site_label
_atom_site_fract_x
_atom_site_fract_y
_atom_site_fract_z
Ca1 0.000 0.000 0.000
Se1 0.000 0.000 0.500
Br1 0.000 0.500 0.000
O1 0.500 0.500 0.500
```

Here is crystalline ScRh at its relaxed geometry from Alexandria. Energies are from GGA-PBEsol.

Output
- Fermi-level density of states (states/eV/cell) = 4.75
- volume (A^3/atom) = 16.6
- final energy (eV per cell) = -65.18

Cell and atoms, written as CIF:
```
data_ScRh
_chemical_formula_sum 'Sc4 Rh4'
_symmetry_space_group_name_H-M 'C 1 2/m 1'
_symmetry_Int_Tables_number 12
_cell_length_a 9.731
_cell_length_b 3.111
_cell_length_c 4.471
_cell_angle_alpha 90.00
_cell_angle_beta 100.69
_cell_angle_gamma 90.00
loop_
_symmetry_equiv_pos_as_xyz
'x,y,z'
'-x,-y,-z'
'-x,y,-z'
'x,-y,z'
'x+1/2,y+1/2,z'
'-x+1/2,-y+1/2,-z'
'-x+1/2,y+1/2,-z'
'x+1/2,-y+1/2,z'
loop_
_atom_site_label
_atom_site_fract_x
_atom_site_fract_y
_atom_site_fract_z
Sc1 0.120 0.000 0.295
Rh1 0.116 0.500 0.792
```

Here is crystalline ScCd2In at its relaxed geometry from Alexandria. Energies are from GGA-PBEsol.

Output
- Fermi-level density of states (states/eV/cell) = 4.42
- volume (A^3/atom) = 21.7
- final energy (eV per cell) = -25.52

Cell and atoms, written as CIF:
```
data_ScCd2In
_chemical_formula_sum 'Sc2 Cd4 In2'
_symmetry_space_group_name_H-M 'C 1 2/m 1'
_symmetry_Int_Tables_number 12
_cell_length_a 10.302
_cell_length_b 3.342
_cell_length_c 5.160
_cell_angle_alpha 90.00
_cell_angle_beta 102.80
_cell_angle_gamma 90.00
loop_
_symmetry_equiv_pos_as_xyz
'x,y,z'
'-x,-y,-z'
'-x,y,-z'
'x,-y,z'
'x+1/2,y+1/2,z'
'-x+1/2,-y+1/2,-z'
'-x+1/2,y+1/2,-z'
'x+1/2,-y+1/2,z'
loop_
_atom_site_label
_atom_site_fract_x
_atom_site_fract_y
_atom_site_fract_z
Sc1 0.000 0.000 0.000
Cd1 0.248 0.500 0.245
In1 0.000 0.500 0.500
```

Here is crystalline Li2ZnRe at its relaxed geometry from Alexandria. Energies are from GGA-PBEsol.

Output
- Fermi-level density of states (states/eV/cell) = 1.97
- volume (A^3/atom) = 13.0
- final energy (eV per cell) = -16.99

Cell and atoms, written as CIF:
```
data_Li2ZnRe
_chemical_formula_sum 'Li2 Zn1 Re1'
_symmetry_space_group_name_H-M 'P 4/m m m'
_symmetry_Int_Tables_number 123
_symmetry_space_group_name_Hall '-P 4 2'
_cell_length_a 4.553
_cell_length_b 4.553
_cell_length_c 2.514
_cell_angle_alpha 90.00
_cell_angle_beta 90.00
_cell_angle_gamma 90.00
loop_
_atom_site_label
_atom_site_fract_x
_atom_site_fract_y
_atom_site_fract_z
Li1 0.000 0.500 0.000
Zn1 0.000 0.000 0.500
Re1 0.500 0.500 0.500
```

Here is crystalline Li2TcSe at its relaxed geometry from Alexandria. Energies are from GGA-PBEsol.

Output
- Fermi-level density of states (states/eV/cell) = 11.11
- energy relative to the elements, uncorrected (eV per atom) = 0.16
- volume (A^3/atom) = 15.2
- final energy (eV per cell) = -73.68

Cell and atoms, written as CIF:
```
data_Li2TcSe
_chemical_formula_sum 'Li8 Tc4 Se4'
_symmetry_space_group_name_H-M 'I -4 2 d'
_symmetry_Int_Tables_number 122
_symmetry_space_group_name_Hall 'I -4 2bw'
_cell_length_a 7.181
_cell_length_b 7.181
_cell_length_c 4.715
_cell_angle_alpha 90.00
_cell_angle_beta 90.00
_cell_angle_gamma 90.00
loop_
_atom_site_label
_atom_site_fract_x
_atom_site_fract_y
_atom_site_fract_z
Li1 0.218 0.750 0.125
Tc1 0.000 0.000 0.500
Se1 0.000 0.000 0.000
```

Here is crystalline CaSi2Ni2 at its relaxed geometry from Alexandria. Energies are from GGA-PBEsol.

Output
- Fermi-level density of states (states/eV/cell) = 5.31
- energy relative to the elements, uncorrected (eV per atom) = -0.57
- volume (A^3/atom) = 14.9
- final energy (eV per cell) = -57.54

Cell and atoms, written as CIF:
```
data_CaSi2Ni2
_chemical_formula_sum 'Ca2 Si4 Ni4'
_symmetry_space_group_name_H-M 'I 4/m m m'
_symmetry_Int_Tables_number 139
_symmetry_space_group_name_Hall '-I 4 2'
_cell_length_a 3.926
_cell_length_b 3.926
_cell_length_c 9.660
_cell_angle_alpha 90.00
_cell_angle_beta 90.00
_cell_angle_gamma 90.00
loop_
_atom_site_label
_atom_site_fract_x
_atom_site_fract_y
_atom_site_fract_z
Ca1 0.000 0.000 0.000
Si1 0.000 0.500 0.250
Ni1 0.000 0.000 0.372
```

Copy entry 6 word for word.
Here is crystalline CaSi2Ni2 at its relaxed geometry from Alexandria. Energies are from GGA-PBEsol.

Output
- Fermi-level density of states (states/eV/cell) = 5.31
- energy relative to the elements, uncorrected (eV per atom) = -0.57
- volume (A^3/atom) = 14.9
- final energy (eV per cell) = -57.54

Cell and atoms, written as CIF:
```
data_CaSi2Ni2
_chemical_formula_sum 'Ca2 Si4 Ni4'
_symmetry_space_group_name_H-M 'I 4/m m m'
_symmetry_Int_Tables_number 139
_symmetry_space_group_name_Hall '-I 4 2'
_cell_length_a 3.926
_cell_length_b 3.926
_cell_length_c 9.660
_cell_angle_alpha 90.00
_cell_angle_beta 90.00
_cell_angle_gamma 90.00
loop_
_atom_site_label
_atom_site_fract_x
_atom_site_fract_y
_atom_site_fract_z
Ca1 0.000 0.000 0.000
Si1 0.000 0.500 0.250
Ni1 0.000 0.000 0.372
```